No. 1
VASP calculation (GGA-PBE) on a relaxed AlHg2 crystal.

* formation energy from the elements: 0.148 eV per atom
* calculated volume: 205 Å³ per cell
* M_tot: 0.0000 μB per atom
* space-group type: P-62m, No. 189

Cell lengths 8.0411, 8.0411, 3.6529 Å; angles 90.00, 90.00, 120.00 degrees
Closest atoms and distances in Å follow each position.
Sites, in units of the cell vectors:
Al1 0.0000 0.0000 0.0000  9 Hg 2.86-3.19
Al2 0.3333 0.6667 0.5000  9 Hg 2.95-3.07
Al3 0.6667 0.3333 0.5000  9 Hg 2.95-3.07
Hg1 0.0000 0.2743 0.5000  4 Al 2.86-2.95
Hg2 0.0000 0.6035 0.0000  5 Al 3.07-3.19, 6 Hg 3.22-3.37
Hg3 0.2743 0.0000 0.5000  4 Al 2.86-2.95
Hg4 0.3965 0.3965 0.0000  5 Al 3.07-3.19, 6 Hg 3.22-3.37
Hg5 0.6035 0.0000 0.0000  5 Al 3.07-3.19, 6 Hg 3.22-3.37
Hg6 0.7257 0.7257 0.5000  4 Al 2.86-2.95

---

No. 2
VASP calculation (GGA-PBE) on a relaxed Al3Hg crystal.

* ΔE to the lowest computed polymorph: 35 meV per atom
* formation energy from the elements: 0.139 eV per atom
* calculated volume: 303 Å³ per cell
* M_tot: 0.0000 μB per atom
* space-group type: Pnma, No. 62

Cell lengths 5.2471, 8.7884, 6.5735 Å; angles 90.00, 90.00, 90.00 degrees
Closest atoms and distances in Å follow each position.
Sites, in units of the cell vectors:
Al1 0.1030 0.2500 0.1454  8 Al 2.80-2.96, 2 Hg 2.93-2.94
Al2 0.2122 0.0074 0.8629  6 Al 2.80-3.01, 3 Hg 2.87-2.94
Al3 0.2122 0.4926 0.8629  6 Al 2.80-3.01, 3 Hg 2.87-2.94
Al4 0.2878 0.5074 0.3629  6 Al 2.80-3.01, 3 Hg 2.87-2.94
Al5 0.2878 0.9926 0.3629  6 Al 2.80-3.01, 3 Hg 2.87-2.94
Al6 0.3970 0.7500 0.6454  8 Al 2.80-2.96, 2 Hg 2.93-2.94
Al7 0.6030 0.2500 0.3546  8 Al 2.80-2.96, 2 Hg 2.93-2.94
Al8 0.7122 0.0074 0.6371  6 Al 2.80-3.01, 3 Hg 2.87-2.94
Al9 0.7122 0.4926 0.6371  6 Al 2.80-3.01, 3 Hg 2.87-2.94
Al10 0.7878 0.5074 0.1371  6 Al 2.80-3.01, 3 Hg 2.87-2.94
Al11 0.7878 0.9926 0.1371  6 Al 2.80-3.01, 3 Hg 2.87-2.94
Al12 0.8970 0.7500 0.8546  8 Al 2.80-2.96, 2 Hg 2.93-2.94
Hg1 0.0761 0.2500 0.5921  9 Al 2.87-3.17
Hg2 0.4239 0.7500 0.0921  9 Al 2.87-3.17
Hg3 0.5761 0.2500 0.9079  9 Al 2.87-3.17
Hg4 0.9239 0.7500 0.4079  9 Al 2.87-3.17